First-principles (PBE) data for BaLa2Sm3Te6 after structural relaxation, as listed in the Alexandria database.

POSCAR file:
```
BaLa2Sm3Te6
1.0
9.9667 -2.2687 0.0000
9.9667 2.2687 0.0000
-2.1705 0.0000 8.9617
Ba La Sm Te
1 2 3 6
direct
0.0000 0.0000 0.0000
0.3301 0.3301 0.6613
0.6699 0.6699 0.3387
0.0000 0.0000 0.5000
0.3362 0.3362 0.1765
0.6638 0.6638 0.8235
0.1632 0.1632 0.5862
0.1740 0.1740 0.0786
0.4995 0.4995 0.7323
0.5005 0.5005 0.2677
0.8260 0.8260 0.9214
0.8368 0.8368 0.4138
```

raw formation energy = -1.50 eV per atom
DOS(E_F) = 6.28 states/eV/f.u.
DFT total energy = -5.2340 eV per atom